Run P
A plane-wave DFT calculation with PBE was carried out for an optimized crystal structure of GdTm2Rh.

a = 3.7360 Å, b = 3.7360 Å, c = 27.9692 Å
α = 90.00°, β = 90.00°, γ = 120.00°
Space group R-3m (No. 166, hexagonal axes)
Inequivalent atoms, fractional coordinates:
Gd  0.0000  0.0000  0.0000 x3
Tm  0.0000  0.0000  0.2259 x6
Rh  0.0000  0.0000  0.5000 x3

Run Q
A plane-wave DFT calculation with PBE was carried out for an optimized crystal structure of GdTm2Rh.

a = 3.4501 Å, b = 3.4501 Å, c = 8.6104 Å
α = 90.00°, β = 90.00°, γ = 90.00°
Space group P4/mmm (No. 123)
Inequivalent atoms, fractional coordinates:
Gd  0.0000  0.0000  0.0000 x1
Tm  0.5000  0.5000  0.3124 x2
Rh  0.0000  0.0000  0.5000 x1

Which of them is least stable? Easy: run P.